1.
A plane-wave DFT calculation with PBE was carried out for a geometry-optimized Ta2WCl structure.

Output
Total magnetic moment: 0.00 μB/f.u.
DOS at the Fermi energy: 3.05 states/eV per cell
Symmetry: I-4m2
Offset from the most stable computed form: 849 meV/atom
DFT total energy: -8.7679 eV/atom

Cell lengths 5.468, 5.468, 5.468 Å; angles 139.13, 139.13, 59.18 degrees
Fractional coordinates of all 4 atoms:
Cl1 0.750 0.250 0.500
Ta1 0.250 0.750 0.500
Ta2 0.000 0.000 0.000
W1 0.500 0.500 0.000

=====

2.
A plane-wave DFT calculation with PBE was carried out for a geometry-optimized TaWCl structure.

Output
Total magnetic moment: 0.00 μB/f.u.
DOS at the Fermi energy: 1.99 states/eV per cell
Symmetry: P3m1
Offset from the most stable computed form: 303 meV/atom
DFT total energy: -8.3058 eV/atom

Cell lengths 4.500, 4.500, 2.879 Å; angles 90.00, 90.00, 120.00 degrees
Fractional coordinates of all 3 atoms:
Ta1 0.667 0.333 0.239
W1 0.333 0.667 0.843
Cl1 0.000 0.000 0.918

=====

3.
A plane-wave DFT calculation with PBE was carried out for a geometry-optimized Ta2WCl structure.

Output
Total magnetic moment: 0.00 μB/f.u.
DOS at the Fermi energy: 2.36 states/eV per cell
Symmetry: C2/m
Offset from the most stable computed form: 587 meV/atom
DFT total energy: -9.0300 eV/atom

Cell lengths 4.955, 4.955, 3.005 Å; angles 81.55, 81.55, 103.61 degrees
Fractional coordinates of all 4 atoms:
Ta1 0.500 0.500 0.000
Ta2 0.000 0.000 0.000
W1 0.500 0.000 0.500
Cl1 0.000 0.500 0.500

=====

4.
A plane-wave DFT calculation with PBE was carried out for a geometry-optimized Ta2WCl structure.

Output
Total magnetic moment: 0.00 μB/f.u.
DOS at the Fermi energy: 2.74 states/eV per cell
Symmetry: P4mm
Offset from the most stable computed form: 355 meV/atom
DFT total energy: -9.2618 eV/atom

Cell lengths 2.808, 2.808, 10.554 Å; angles 90.00, 90.00, 90.00 degrees
Fractional coordinates of all 4 atoms:
W1 0.000 0.000 0.436
Ta1 0.000 0.000 0.004
Ta2 0.500 0.500 0.223
Cl1 0.500 0.500 0.836

=====

5.
A plane-wave DFT calculation with PBE was carried out for a geometry-optimized Ta2WCl structure.

Output
Total magnetic moment: 0.00 μB/f.u.
DOS at the Fermi energy: 2.71 states/eV per cell
Symmetry: P4/mmm
Offset from the most stable computed form: 365 meV/atom
DFT total energy: -9.2522 eV/atom

Cell lengths 2.871, 2.871, 8.297 Å; angles 90.00, 90.00, 90.00 degrees
Fractional coordinates of all 4 atoms:
Ta1 0.000 0.000 0.507
Ta2 0.000 0.000 0.993
W1 0.500 0.500 0.250
Cl1 0.500 0.500 0.750

=====

6.
A plane-wave DFT calculation with PBE was carried out for a geometry-optimized TaWCl structure.

Output
Total magnetic moment: 0.00 μB/f.u.
DOS at the Fermi energy: 2.46 states/eV per cell
Symmetry: Fmm2
Offset from the most stable computed form: 27 meV/atom
DFT total energy: -8.5809 eV/atom

Cell lengths 8.126, 7.928, 2.950 Å; angles 83.23, 75.64, 21.13 degrees
Fractional coordinates of all 3 atoms:
Cl1 0.962 0.962 0.038
Ta1 0.334 0.334 0.666
W1 0.704 0.704 0.296

=====

7.
A plane-wave DFT calculation with PBE was carried out for a geometry-optimized Ta2WCl structure.

Output
Total magnetic moment: 0.00 μB/f.u.
DOS at the Fermi energy: 9.93 states/eV per cell
Symmetry: I-42d
Offset from the most stable computed form: 1212 meV/atom
DFT total energy: -8.4050 eV/atom

Cell lengths 3.986, 3.986, 9.807 Å; angles 78.27, 78.27, 90.00 degrees
Fractional coordinates of all 8 atoms:
Ta1 0.875 0.878 0.750
Ta2 0.628 0.125 0.250
Ta3 0.375 0.372 0.750
Ta4 0.122 0.625 0.250
Cl1 0.250 0.750 0.500
Cl2 0.500 0.500 0.000
W1 0.750 0.250 0.500
W2 0.000 0.000 0.000

=====

8.
A plane-wave DFT calculation with PBE was carried out for a geometry-optimized Ta2WCl structure.

Output
Total magnetic moment: 0.00 μB/f.u.
DOS at the Fermi energy: 2.44 states/eV per cell
Symmetry: P4mm
Offset from the most stable computed form: 415 meV/atom
DFT total energy: -9.2023 eV/atom

Cell lengths 3.218, 3.218, 7.840 Å; angles 90.00, 90.00, 90.00 degrees
Fractional coordinates of all 4 atoms:
Ta1 0.000 0.000 0.034
Ta2 0.500 0.500 0.248
W1 0.000 0.000 0.423
Cl1 0.500 0.500 0.796

=====

9.
A plane-wave DFT calculation with PBE was carried out for a geometry-optimized Ta2WCl structure.

Output
Total magnetic moment: 0.00 μB/f.u.
DOS at the Fermi energy: 3.44 states/eV per cell
Symmetry: Pmmm
Offset from the most stable computed form: 567 meV/atom
DFT total energy: -9.0504 eV/atom

Cell lengths 2.817, 4.441, 5.641 Å; angles 90.00, 90.00, 90.00 degrees
Fractional coordinates of all 4 atoms:
Ta1 0.000 0.000 0.486
Ta2 0.000 0.000 0.014
Cl1 0.500 0.500 0.750
W1 0.500 0.500 0.250

=====

10.
A plane-wave DFT calculation with PBE was carried out for a geometry-optimized TaWCl structure.

Output
Total magnetic moment: 0.00 μB/f.u.
DOS at the Fermi energy: 4.86 states/eV per cell
Symmetry: F-43m
Offset from the most stable computed form: 1165 meV/atom
DFT total energy: -7.4433 eV/atom

Cell lengths 4.402, 4.402, 4.402 Å; angles 60.00, 60.00, 60.00 degrees
Fractional coordinates of all 3 atoms:
Cl1 0.000 0.000 0.000
Ta1 0.500 0.500 0.500
W1 0.250 0.250 0.250

=====

11.
A plane-wave DFT calculation with PBE was carried out for a geometry-optimized Ta2WCl structure.

Output
Total magnetic moment: 0.00 μB/f.u.
DOS at the Fermi energy: 4.31 states/eV per cell
Symmetry: P4/mmm
Offset from the most stable computed form: 614 meV/atom
DFT total energy: -9.0033 eV/atom

Cell lengths 3.057, 4.747, 4.747 Å; angles 90.00, 90.00, 90.00 degrees
Fractional coordinates of all 4 atoms:
Ta1 0.000 0.500 0.500
Ta2 0.000 0.000 0.000
W1 0.500 0.500 0.000
Cl1 0.500 0.000 0.500

=====

12.
A plane-wave DFT calculation with PBE was carried out for a geometry-optimized TaWCl3 structure.

Output
Total magnetic moment: 5.57 μB/f.u.
DOS at the Fermi energy: 9.26 states/eV per cell
Symmetry: Pm-3m
Offset from the most stable computed form: 295 meV/atom
DFT total energy: -4.8297 eV/atom

Cell lengths 4.851, 4.851, 4.851 Å; angles 90.00, 90.00, 90.00 degrees
Site moments in Bohr magnetons follow the coordinates.
Fractional coordinates of all 5 atoms:
Cl1 0.000 0.500 0.000  0.02
Cl2 0.000 0.000 0.500  0.03
Cl3 0.500 0.000 0.000  0.06
Ta1 0.500 0.500 0.500  2.48
W1 0.000 0.000 0.000  1.16

=====

13.
A plane-wave DFT calculation with PBE was carried out for a geometry-optimized Ta2WCl structure.

Output
Total magnetic moment: 0.00 μB/f.u.
DOS at the Fermi energy: 6.18 states/eV per cell
Symmetry: F-43m
Offset from the most stable computed form: 997 meV/atom
DFT total energy: -8.6203 eV/atom

Cell lengths 4.635, 4.635, 4.635 Å; angles 60.00, 60.00, 60.00 degrees
Fractional coordinates of all 4 atoms:
Cl1 0.500 0.500 0.500
Ta1 0.250 0.250 0.250
Ta2 0.000 0.000 0.000
W1 0.750 0.750 0.750

=====

14.
A plane-wave DFT calculation with PBE was carried out for a geometry-optimized Ta2WCl structure.

Output
Total magnetic moment: 0.00 μB/f.u.
DOS at the Fermi energy: 5.81 states/eV per cell
Symmetry: R-3m
Offset from the most stable computed form: 267 meV/atom
DFT total energy: -9.3500 eV/atom

Cell lengths 9.505, 9.505, 9.505 Å; angles 17.60, 17.60, 17.60 degrees
Fractional coordinates of all 4 atoms:
W1 0.250 0.250 0.250
Cl1 0.750 0.750 0.750
Ta1 0.005 0.005 0.005
Ta2 0.495 0.495 0.495

=====

15.
A plane-wave DFT calculation with PBE was carried out for a geometry-optimized Ta2WCl structure.

Output
Total magnetic moment: 0.00 μB/f.u.
DOS at the Fermi energy: 3.22 states/eV per cell
Symmetry: Pmmm
Offset from the most stable computed form: 0 meV/atom
DFT total energy: -9.6172 eV/atom

Cell lengths 3.164, 3.257, 7.500 Å; angles 89.99, 90.00, 90.00 degrees
Fractional coordinates of all 4 atoms:
Ta1 0.000 0.750 0.454
Ta2 0.000 0.750 0.046
Cl1 0.500 0.750 0.750
W1 0.500 0.250 0.250

=====

16.
A plane-wave DFT calculation with PBE was carried out for a geometry-optimized TaW4Cl structure.

Output
Total magnetic moment: 0.00 μB/f.u.
DOS at the Fermi energy: 3.96 states/eV per cell
Symmetry: F-43m
DFT total energy: -10.0175 eV/atom

Cell lengths 5.336, 5.336, 5.336 Å; angles 60.00, 60.00, 60.00 degrees
Fractional coordinates of all 6 atoms:
W1 0.376 0.873 0.376
W2 0.376 0.376 0.873
W3 0.376 0.376 0.376
W4 0.873 0.376 0.376
Cl1 0.750 0.750 0.750
Ta1 0.000 0.000 0.000

=====

17.
A plane-wave DFT calculation with PBE was carried out for a geometry-optimized TaWCl4 structure.

Output
Total magnetic moment: 0.00 μB/f.u.
DOS at the Fermi energy: 9.80 states/eV per cell
Symmetry: F-43m
DFT total energy: -3.7510 eV/atom

Cell lengths 5.407, 5.407, 5.407 Å; angles 60.00, 60.00, 60.00 degrees
Fractional coordinates of all 6 atoms:
Cl1 0.375 0.375 0.875
Cl2 0.375 0.875 0.375
Cl3 0.375 0.375 0.375
Cl4 0.875 0.375 0.375
Ta1 0.750 0.750 0.750
W1 0.000 0.000 0.000

=====

18.
A plane-wave DFT calculation with PBE was carried out for a geometry-optimized TaWCl3 structure.

Output
Total magnetic moment: 4.77 μB/f.u.
DOS at the Fermi energy: 4.04 states/eV per cell
Symmetry: Pm-3m
Offset from the most stable computed form: 0 meV/atom
DFT total energy: -5.1243 eV/atom

Cell lengths 4.917, 4.917, 4.917 Å; angles 90.00, 90.00, 90.00 degrees
Site moments in Bohr magnetons follow the coordinates.
Fractional coordinates of all 5 atoms:
Cl1 0.000 0.500 0.000  0.04
Cl2 0.000 0.000 0.500  0.05
Cl3 0.500 0.000 0.000  0.01
W1 0.500 0.500 0.500  3.72
Ta1 0.000 0.000 0.000  -0.55

=====

19.
A plane-wave DFT calculation with PBE was carried out for a geometry-optimized Ta2WCl structure.

Output
Total magnetic moment: 0.00 μB/f.u.
DOS at the Fermi energy: 3.01 states/eV per cell
Symmetry: Cmmm
Offset from the most stable computed form: 103 meV/atom
DFT total energy: -9.5141 eV/atom

Cell lengths 2.951, 2.951, 8.845 Å; angles 90.00, 90.00, 113.91 degrees
Fractional coordinates of all 4 atoms:
W1 0.500 0.500 0.250
Ta1 0.000 0.000 0.494
Ta2 0.000 0.000 0.006
Cl1 0.500 0.500 0.750

=====

20.
A plane-wave DFT calculation with PBE was carried out for a geometry-optimized TaWCl structure.

Output
Total magnetic moment: 0.00 μB/f.u.
DOS at the Fermi energy: 2.87 states/eV per cell
Symmetry: P3m1
Offset from the most stable computed form: 0 meV/atom
DFT total energy: -8.6083 eV/atom

Cell lengths 2.906, 2.906, 8.388 Å; angles 90.00, 90.00, 120.00 degrees
Fractional coordinates of all 3 atoms:
W1 0.333 0.667 0.603
Cl1 0.000 0.000 0.088
Ta1 0.667 0.333 0.309

=====

21.
A plane-wave DFT calculation with PBE was carried out for a geometry-optimized Ta2WCl structure.

Output
Total magnetic moment: 0.00 μB/f.u.
DOS at the Fermi energy: 2.65 states/eV per cell
Symmetry: Immm
Offset from the most stable computed form: 622 meV/atom
DFT total energy: -8.9955 eV/atom

Cell lengths 5.077, 5.077, 5.077 Å; angles 141.47, 119.95, 73.65 degrees
Fractional coordinates of all 4 atoms:
Ta1 0.981 0.981 0.000
Ta2 0.519 0.519 0.000
W1 0.250 0.750 0.500
Cl1 0.750 0.250 0.500

=====

22.
A plane-wave DFT calculation with PBE was carried out for a geometry-optimized TaWCl structure.

Output
Total magnetic moment: 0.00 μB/f.u.
DOS at the Fermi energy: 2.06 states/eV per cell
Symmetry: Imm2
Offset from the most stable computed form: 515 meV/atom
DFT total energy: -8.0928 eV/atom

Cell lengths 4.959, 4.959, 4.959 Å; angles 146.97, 128.18, 62.84 degrees
Fractional coordinates of all 3 atoms:
W1 0.663 0.663 0.000
Cl1 0.012 0.012 0.000
Ta1 0.325 0.325 0.000

=====

23.
A plane-wave DFT calculation with PBE was carried out for a geometry-optimized Ta2WCl structure.

Output
Total magnetic moment: 0.00 μB/f.u.
DOS at the Fermi energy: 2.86 states/eV per cell
Symmetry: C2/m
Offset from the most stable computed form: 323 meV/atom
DFT total energy: -9.2946 eV/atom

Cell lengths 4.312, 4.312, 8.115 Å; angles 62.62, 62.62, 41.66 degrees
Fractional coordinates of all 4 atoms:
Cl1 0.250 0.250 0.250
W1 0.750 0.750 0.750
Ta1 0.938 0.938 0.935
Ta2 0.562 0.562 0.565

=====

24.
A plane-wave DFT calculation with PBE was carried out for a geometry-optimized Ta2WCl structure.

Output
Total magnetic moment: 0.00 μB/f.u.
DOS at the Fermi energy: 3.12 states/eV per cell
Symmetry: Cmmm
Offset from the most stable computed form: 610 meV/atom
DFT total energy: -9.0077 eV/atom

Cell lengths 4.738, 4.738, 3.146 Å; angles 90.00, 90.00, 101.19 degrees
Fractional coordinates of all 4 atoms:
Cl1 0.000 0.500 0.500
W1 0.500 0.000 0.500
Ta1 0.000 0.000 0.000
Ta2 0.500 0.500 0.000

=====

25.
A plane-wave DFT calculation with PBE was carried out for a geometry-optimized TaWCl structure.

Output
Total magnetic moment: 0.00 μB/f.u.
DOS at the Fermi energy: 1.17 states/eV per cell
Symmetry: I4mm
Offset from the most stable computed form: 155 meV/atom
DFT total energy: -8.4537 eV/atom

Cell lengths 8.367, 8.367, 8.367 Å; angles 160.44, 160.44, 27.79 degrees
Fractional coordinates of all 3 atoms:
Ta1 0.340 0.340 0.000
Cl1 0.948 0.948 0.000
W1 0.712 0.712 0.000

=====

26.
A plane-wave DFT calculation with PBE was carried out for a geometry-optimized Ta2WCl structure.

Output
Total magnetic moment: 0.00 μB/f.u.
DOS at the Fermi energy: 4.94 states/eV per cell
Symmetry: Fm-3m
Offset from the most stable computed form: 796 meV/atom
DFT total energy: -8.8207 eV/atom

Cell lengths 4.631, 4.631, 4.631 Å; angles 60.00, 60.00, 60.00 degrees
Fractional coordinates of all 4 atoms:
W1 0.500 0.500 0.500
Ta1 0.250 0.250 0.250
Ta2 0.750 0.750 0.750
Cl1 0.000 0.000 0.000

=====

27.
A plane-wave DFT calculation with PBE was carried out for a geometry-optimized Ta2WCl structure.

Output
Total magnetic moment: 0.00 μB/f.u.
DOS at the Fermi energy: 2.96 states/eV per cell
Symmetry: Pm
Offset from the most stable computed form: 407 meV/atom
DFT total energy: -9.2105 eV/atom

Cell lengths 4.623, 2.900, 5.294 Å; angles 79.10, 90.00, 90.00 degrees
Fractional coordinates of all 4 atoms:
Cl1 0.500 0.491 0.771
W1 0.000 0.618 0.478
Ta1 0.500 0.328 0.256
Ta2 0.000 0.062 0.995

=====

28.
A plane-wave DFT calculation with PBE was carried out for a geometry-optimized Y2TaCl structure.

Output
Total magnetic moment: 0.00 μB/f.u.
DOS at the Fermi energy: 1.33 states/eV per cell
Symmetry: Cm
Offset from the most stable computed form: 338 meV/atom
DFT total energy: -6.7635 eV/atom

Cell lengths 5.684, 5.684, 5.948 Å; angles 66.49, 66.49, 33.09 degrees
Fractional coordinates of all 4 atoms:
Cl1 0.559 0.559 0.587
Y1 0.959 0.959 0.041
Y2 0.791 0.791 0.681
Ta1 0.190 0.190 0.192

=====

29.
A plane-wave DFT calculation with PBE was carried out for a geometry-optimized YTaCl3 structure.

Output
Total magnetic moment: 4.78 μB/f.u.
DOS at the Fermi energy: 13.29 states/eV per cell
Symmetry: Pm-3m
Offset from the most stable computed form: 0 meV/atom
DFT total energy: -4.9504 eV/atom

Cell lengths 5.300, 5.300, 5.300 Å; angles 90.00, 90.00, 90.00 degrees
Site moments in Bohr magnetons follow the coordinates.
Fractional coordinates of all 5 atoms:
Cl1 0.500 0.000 0.000  0.03
Cl2 0.000 0.500 0.000  0.05
Cl3 0.000 0.000 0.500  0.04
Y1 0.000 0.000 0.000  0.14
Ta1 0.500 0.500 0.500  2.64

=====

30.
A plane-wave DFT calculation with PBE was carried out for a geometry-optimized YTaCl2 structure.

Output
Total magnetic moment: 0.00 μB/f.u.
DOS at the Fermi energy: 3.42 states/eV per cell
Symmetry: C2/m
Offset from the most stable computed form: 660 meV/atom
DFT total energy: -5.8116 eV/atom

Cell lengths 5.599, 5.662, 3.391 Å; angles 69.11, 96.64, 121.94 degrees
Fractional coordinates of all 4 atoms:
Y1 0.500 0.500 0.000
Cl1 0.000 0.000 0.000
Cl2 0.500 0.000 0.500
Ta1 0.000 0.500 0.500